First-principles (GGA-PBE) data for an optimized crystal structure of Pm2ZrTe2N2, as listed in Alexandria.

Geometry as POSCAR:
```
Pm2ZrTe2N2
1.0
4.3042 0.0000 0.0000
0.0000 4.3042 0.0000
-2.1521 -2.1521 8.3337
Pm Te Zr N
2 2 1 2
direct
0.6008 0.6008 0.2016
0.3992 0.3992 0.7984
0.1801 0.1801 0.3601
0.8199 0.8199 0.6399
0.0000 0.0000 0.0000
0.5000 0.0000 0.0000
0.0000 0.5000 0.0000
```

For the uncorrected formation energy, the calculation gives -32.7 kcal/mol of atoms. As for the magnetization: 0.00 μB/f.u.

---

First-principles (GGA-PBE) data for an optimized crystal structure of Pm5ThN6, as listed in Alexandria.

Geometry as POSCAR:
```
Pm5ThN6
1.0
-5.3370 1.0313 -3.1386
0.1387 -3.1204 -5.4431
-2.1843 -5.8731 -0.3065
Pm N Th
5 6 1
direct
0.5000 0.8322 0.3357
0.5000 0.1678 0.6643
0.0000 0.6663 0.6674
0.0000 0.3337 0.3326
0.5000 0.5000 0.0000
0.2467 0.9178 0.6738
0.7548 0.7557 0.0000
0.7533 0.4084 0.6738
0.2467 0.5916 0.3262
0.2452 0.2443 0.0000
0.7533 0.0822 0.3262
0.0000 0.0000 0.0000
```

For the uncorrected formation energy, the calculation gives -34.7 kcal/mol of atoms. As for the magnetization: 0.00 μB/f.u.

---

First-principles (GGA-PBE) data for an optimized crystal structure of Pm2Th2N3, as listed in Alexandria.

Geometry as POSCAR:
```
Pm2Th2N3
1.0
-4.3394 0.1740 -4.5787
-7.9996 -3.8983 5.1098
-6.0860 7.3748 3.7246
N Pm Th
12 8 8
direct
0.3837 0.6865 0.5294
0.8946 0.1631 0.9545
0.6163 0.3135 0.4706
0.8837 0.5294 0.6865
0.1054 0.8369 0.0455
0.2303 0.0054 0.5183
0.7303 0.5183 0.0054
0.2697 0.4817 0.9946
0.7697 0.9946 0.4817
0.1163 0.4706 0.3135
0.6054 0.0455 0.8369
0.3946 0.9545 0.1631
0.7500 0.5603 0.4397
0.5140 0.1665 0.0008
0.0140 0.0008 0.1665
0.4860 0.8335 0.9992
0.9860 0.9992 0.8335
0.7500 0.2993 0.7007
0.2500 0.7007 0.2993
0.2500 0.4397 0.5603
0.5127 0.9143 0.3802
0.4873 0.0857 0.6198
0.4713 0.4165 0.2030
0.9713 0.2030 0.4165
0.5287 0.5835 0.7970
0.0127 0.3802 0.9143
0.9873 0.6198 0.0857
0.0287 0.7970 0.5835
```

For the uncorrected formation energy, the calculation gives -22.6 kcal/mol of atoms. As for the magnetization: 0.00 μB/f.u.

---

First-principles (GGA-PBE) data for an optimized crystal structure of Pm3Th5N8, as listed in Alexandria.

Geometry as POSCAR:
```
Pm3Th5N8
1.0
6.3325 0.0000 3.6273
2.1274 5.9645 3.6273
0.0307 0.0216 7.2877
N Th Pm
8 5 3
direct
0.2544 0.2544 0.2369
0.2571 0.7499 0.2431
0.7499 0.7499 0.2431
0.7499 0.2571 0.2431
0.7456 0.7456 0.7631
0.7429 0.2501 0.7569
0.2501 0.7429 0.7569
0.2501 0.2501 0.7569
0.5000 0.0000 0.0000
0.0000 0.0000 0.0000
0.5000 0.5000 0.5000
0.5000 0.5000 0.0000
0.0000 0.5000 0.0000
0.5000 0.0000 0.5000
0.0000 0.5000 0.5000
0.0000 0.0000 0.5000
```

For the uncorrected formation energy, the calculation gives -35.6 kcal/mol of atoms. As for the magnetization: 0.00 μB/f.u.

---

First-principles (GGA-PBE) data for an optimized crystal structure of Pm4ThN5, as listed in Alexandria.

Geometry as POSCAR:
```
Pm4ThN5
1.0
-2.3326 1.2609 4.3825
-6.2335 0.5727 -0.4892
-1.7767 -4.9256 3.4649
N Pm Th
5 4 1
direct
0.0972 0.6107 0.1969
0.9048 0.3893 0.8031
0.2941 0.8031 0.6107
0.5012 0.0000 0.0000
0.7080 0.1969 0.3893
0.1990 0.2024 0.4018
0.6007 0.5982 0.2024
0.8031 0.7976 0.5982
0.4013 0.4018 0.7976
0.0010 0.0000 0.0000
```

For the uncorrected formation energy, the calculation gives -34.9 kcal/mol of atoms. As for the magnetization: 0.00 μB/f.u.

---

First-principles (GGA-PBE) data for an optimized crystal structure of Pm2ThN3, as listed in Alexandria.

Geometry as POSCAR:
```
Pm2ThN3
1.0
-0.9637 -3.1747 -1.3333
6.8439 -0.8561 1.8860
-4.9854 -1.4519 7.0605
Pm Th N
4 2 6
direct
0.8293 0.6586 0.6643
0.3286 0.6572 0.1623
0.1707 0.3414 0.3357
0.6714 0.3428 0.8377
0.5000 0.0000 0.0000
0.0000 0.0000 0.5000
0.0254 0.0507 0.8074
0.9746 0.9493 0.1926
0.6324 0.2648 0.5281
0.3097 0.6193 0.8622
0.6903 0.3807 0.1378
0.3676 0.7352 0.4719
```

For the uncorrected formation energy, the calculation gives -27.5 kcal/mol of atoms. As for the magnetization: 0.00 μB/f.u.